1.
Entry from Alexandria: an optimized crystal structure of CuTeRu (PBE).

Summary:
V, Å³ per atom: 17.6
Size of the total moment, μB per atom: 0.000
VASP energy, eV per atom: -5.078

Unit cell a=4.3631 b=4.3631 c=3.1988 alpha=90.00 beta=90.00 gamma=120.00
Fractional positions:
Cu 0.0000 0.0000 0.9997
Ru 0.6667 0.3333 0.4992
Te 0.3333 0.6667 0.5011

=====

2.
Entry from Alexandria: an optimized crystal structure of Li2ScCl4 (PBE).

Summary:
V, Å³ per atom: 20.3
Size of the total moment, μB per atom: 0.038
VASP energy, eV per atom: -4.288

Unit cell a=3.5445 b=6.4602 c=7.2158 alpha=116.74 beta=104.22 gamma=90.00
Fractional positions:
Li 0.7269 0.7493 0.4538
Li 0.2731 0.2507 0.5462
Sc 0.0000 0.0000 0.0000
Cl 0.8731 0.1845 0.7463
Cl 0.1269 0.8155 0.2537
Cl 0.6338 0.2966 0.2676
Cl 0.3662 0.7034 0.7324

=====

3.
Entry from Alexandria: an optimized crystal structure of Hf3CuTe6 (PBE).

Summary:
V, Å³ per atom: 29.1
Size of the total moment, μB per atom: 0.000
VASP energy, eV per atom: -5.742

Unit cell a=8.3511 b=8.3511 c=8.3511 alpha=89.17 beta=89.17 gamma=89.17
Fractional positions:
Hf 0.4151 0.9215 0.7740
Hf 0.9215 0.7740 0.4151
Hf 0.2260 0.5849 0.0785
Hf 0.7740 0.4151 0.9215
Hf 0.0785 0.2260 0.5849
Hf 0.5849 0.0785 0.2260
Cu 0.0000 0.0000 0.0000
Cu 0.5000 0.5000 0.5000
Te 0.3066 0.9194 0.1094
Te 0.0806 0.8906 0.6934
Te 0.5874 0.8172 0.4644
Te 0.8906 0.6934 0.0806
Te 0.4644 0.5874 0.8172
Te 0.1828 0.5356 0.4126
Te 0.8172 0.4644 0.5874
Te 0.5356 0.4126 0.1828
Te 0.1094 0.3066 0.9194
Te 0.4126 0.1828 0.5356
Te 0.9194 0.1094 0.3066
Te 0.6934 0.0806 0.8906

=====

4.
Entry from Alexandria: an optimized crystal structure of Er3Mg7Cd (PBE).

Summary:
V, Å³ per atom: 25.8
Size of the total moment, μB per atom: 0.000
ΔH_f (0 K), eV per atom: 0.066

Unit cell a=3.2906 b=11.4271 c=15.2266 alpha=90.00 beta=90.00 gamma=98.28
Fractional positions:
Er 0.1209 0.2418 0.4513
Er 0.8791 0.7582 0.5487
Er 0.2644 0.5288 0.7500
Er 0.7356 0.4712 0.2500
Er 0.1209 0.2418 0.0487
Er 0.8791 0.7582 0.9513
Mg 0.4134 0.8268 0.7500
Mg 0.5866 0.1732 0.2500
Mg 0.4943 0.9887 0.4076
Mg 0.5057 0.0113 0.5924
Mg 0.5057 0.0113 0.9076
Mg 0.4943 0.9887 0.0924
Mg 0.3718 0.7436 0.3451
Mg 0.6282 0.2564 0.6549
Mg 0.2635 0.5269 0.4260
Mg 0.7365 0.4731 0.5740
Mg 0.7365 0.4731 0.9260
Mg 0.2635 0.5269 0.0740
Mg 0.3718 0.7436 0.1549
Mg 0.6282 0.2564 0.8451
Cd 0.9668 0.9336 0.2500
Cd 0.0332 0.0664 0.7500

=====

5.
Entry from Alexandria: an optimized crystal structure of HgPI3 (PBE).

Summary:
V, Å³ per atom: 34.6
Size of the total moment, μB per atom: 0.000
VASP energy, eV per atom: -1.914

Unit cell a=5.5740 b=5.5740 c=5.5740 alpha=90.00 beta=90.00 gamma=90.00
Fractional positions:
I 0.0000 0.5000 0.0000
I 0.0000 0.0000 0.5000
I 0.5000 0.0000 0.0000
P 0.0000 0.0000 0.0000
Hg 0.5000 0.5000 0.5000

=====

6.
Entry from Alexandria: an optimized crystal structure of BaZr2O5 (PBE).

Summary:
V, Å³ per atom: 13.6
Size of the total moment, μB per atom: 0.000
VASP energy, eV per atom: -8.602

Unit cell a=3.4304 b=6.5550 c=6.5550 alpha=50.21 beta=74.83 gamma=74.83
Fractional positions:
Ba 0.0000 0.0000 0.0000
Zr 0.8162 0.6838 0.6838
Zr 0.1838 0.3162 0.3162
O 0.0000 0.5000 0.5000
O 0.6639 0.5880 0.0842
O 0.3361 0.4120 0.9158
O 0.3361 0.9158 0.4120
O 0.6639 0.0842 0.5880